[1]
VASP calculation (PBE) on ScPd2Pt2 after structural relaxation.

```
ScPd2Pt2
1.0
5.0050 0.0000 0.0000
0.0000 5.0050 0.0000
-2.5025 -2.5025 3.8574
Sc Pd Pt
1 2 2
Direct
0.0000 0.0000 0.0000
0.3366 0.3365 0.6731
0.6634 0.6635 0.3269
0.2500 0.7500 0.5000
0.7500 0.2500 0.5000
```

Summary:
The formation energy comes out at -9.4 kJ per mole of atoms. Its energy above the lowest structure with this stoichiometry is 1.97 eV per formula unit.

---

[2]
VASP calculation (PBE) on ScPdPt after structural relaxation.

```
ScPdPt
1.0
3.3761 0.0000 0.0000
0.0000 3.3761 0.0000
-1.6881 -1.6881 4.5230
Sc Pd Pt
1 1 1
Direct
0.2796 0.2796 0.5593
0.9455 0.9455 0.8909
0.6249 0.6249 0.2498
```

Summary:
The formation energy comes out at -84.7 kJ per mole of atoms. Its energy above the lowest structure with this stoichiometry is 0.40 eV per formula unit.

---

[3]
VASP calculation (PBE) on ScPdPt3 after structural relaxation.

```
ScPdPt3
1.0
-2.7787 -3.9278 0.1881
1.9822 -1.2002 4.2207
-3.3962 2.5131 2.3095
Pt Pd Sc
3 1 1
Direct
0.5000 0.0000 0.0000
0.0000 0.5000 0.0000
0.0000 0.0000 0.5000
0.0000 0.0000 0.0000
0.5000 0.5000 0.5000
```

Summary:
The formation energy comes out at 65.3 kJ per mole of atoms. Its energy above the lowest structure with this stoichiometry is 6.28 eV per formula unit.

---

[4]
VASP calculation (PBE) on Sc4Pd5Pt4 after structural relaxation.

```
Sc4Pd5Pt4
1.0
-3.9435 -0.2791 0.9981
-1.8666 -7.2442 -1.0724
-0.1251 -1.6337 7.3775
Pt Sc Pd
4 4 5
Direct
0.6166 0.2957 0.4711
0.9123 0.4711 0.7043
0.0877 0.5289 0.2957
0.3834 0.7043 0.5289
0.2301 0.6380 0.9018
0.8681 0.9018 0.3620
0.7699 0.3620 0.0982
0.1319 0.0982 0.6380
0.4490 0.2405 0.8615
0.5510 0.7595 0.1385
0.0000 0.0000 0.0000
0.6895 0.8615 0.7595
0.3105 0.1385 0.2405
```

Summary:
The formation energy comes out at -89.4 kJ per mole of atoms.

---

[5]
VASP calculation (PBE) on ScPd5Pt after structural relaxation.

```
ScPd5Pt
1.0
9.1263 0.0000 0.0000
0.0000 5.0272 0.0000
-4.5632 -2.5136 2.6405
Pd Sc Pt
5 1 1
Direct
0.5675 0.7547 0.5095
0.0812 0.7519 0.0000
0.0812 0.2481 0.0000
0.0580 0.2453 0.4905
0.8226 0.5000 0.0000
0.5557 0.5000 0.0000
0.3644 0.0000 0.0000
```

Summary:
The formation energy comes out at -22.7 kJ per mole of atoms.

---

[6]
VASP calculation (PBE) on Sc2Pd4Pt after structural relaxation.

```
Sc2Pd4Pt
1.0
-0.5098 -0.7371 -7.3399
0.6260 -6.9576 0.6553
-5.0989 5.1480 -0.1629
Pd Sc Pt
8 4 2
Direct
0.1975 0.8385 0.2697
0.6975 0.6615 0.7303
0.1658 0.2196 0.8437
0.8025 0.1615 0.7303
0.3342 0.7196 0.8437
0.3025 0.3385 0.2697
0.8342 0.7804 0.1563
0.6658 0.2804 0.1563
0.4692 0.8646 0.6047
0.0308 0.3646 0.6047
0.9692 0.6354 0.3953
0.5308 0.1354 0.3953
0.5000 0.5000 0.0000
0.0000 0.0000 0.0000
```

Summary:
The formation energy comes out at -69.5 kJ per mole of atoms.

---

[7]
VASP calculation (PBE) on ScPd3Pt after structural relaxation.

```
ScPd3Pt
1.0
4.3054 0.0083 0.0000
-2.1602 6.8065 0.0000
0.0000 0.0000 5.5889
Pd Sc Pt
6 2 2
Direct
0.8942 0.2888 0.4974
0.5071 0.5148 0.7500
0.1058 0.7112 0.9974
0.4929 0.4852 0.2500
0.8942 0.2888 0.0026
0.1058 0.7112 0.5026
0.6987 0.8963 0.7500
0.3013 0.1037 0.2500
0.6895 0.8793 0.2500
0.3105 0.1207 0.7500
```

Summary:
The formation energy comes out at -60.2 kJ per mole of atoms. Its energy above the lowest structure with this stoichiometry is 0.17 eV per formula unit.

---

[8]
VASP calculation (PBE) on ScPd2Pt2 after structural relaxation.

```
ScPd2Pt2
1.0
3.7004 0.0000 0.0000
0.0000 3.7004 0.0000
1.8502 1.8502 6.5543
Pd Pt Sc
2 2 1
Direct
0.2500 0.7500 0.5000
0.7500 0.2500 0.5000
0.5968 0.5968 0.8065
0.4032 0.4032 0.1935
0.0000 0.0000 0.0000
```

Summary:
The formation energy comes out at -44.1 kJ per mole of atoms. Its energy above the lowest structure with this stoichiometry is 0.17 eV per formula unit.

---

Sequential M_tot output: 0.000; 0.000; 0.000; 0.000; 0.000; 0.000; 0.000; 0.000 μB per atom